1.
Below is UGa4Pd15 after structural relaxation, with properties calculated at the PBE-GGA level.

Results
For the energy of formation, the calculation gives -11.142 kcal/mol of atoms. As for the space group: P4/mmm (123). The total energy comes out at -5.55 eV per atom. The calculation puts the magnetization at 0.79 μB per cell. The crystal system is tetragonal.

Cell: 3.9917 3.9917 19.6070 Å, 90.00 90.00 90.00°
Closest atoms and distances in Å follow each position.
Sites, in units of the cell vectors:
U: 0.0000 0.0000 0.0000  12 Pd 2.82-2.85
Ga: 0.0000 0.0000 0.2133  12 Pd 2.68-2.93
Ga: 0.0000 0.0000 0.4039  12 Pd 2.74-2.82
Ga: 0.0000 0.0000 0.5961  12 Pd 2.74-2.82
Ga: 0.0000 0.0000 0.7867  12 Pd 2.68-2.93
Pd: 0.0000 0.5000 0.1038  8 Pd 2.81-2.85, 2 U 2.85, 2 Ga 2.93
Pd: 0.0000 0.5000 0.3048  4 Ga 2.68-2.79, 8 Pd 2.77-2.82
Pd: 0.0000 0.5000 0.5000  4 Ga 2.74, 8 Pd 2.76-2.82
Pd: 0.0000 0.5000 0.6952  4 Ga 2.68-2.79, 8 Pd 2.77-2.82
Pd: 0.0000 0.5000 0.8962  8 Pd 2.81-2.85, 2 U 2.85, 2 Ga 2.93
Pd: 0.5000 0.0000 0.1038  8 Pd 2.81-2.85, 2 U 2.85, 2 Ga 2.93
Pd: 0.5000 0.0000 0.3048  4 Ga 2.68-2.79, 8 Pd 2.77-2.82
Pd: 0.5000 0.0000 0.5000  4 Ga 2.74, 8 Pd 2.76-2.82
Pd: 0.5000 0.0000 0.6952  4 Ga 2.68-2.79, 8 Pd 2.77-2.82
Pd: 0.5000 0.0000 0.8962  8 Pd 2.81-2.85, 2 U 2.85, 2 Ga 2.93
Pd: 0.5000 0.5000 0.0000  4 U 2.82, 8 Pd 2.85
Pd: 0.5000 0.5000 0.2044  8 Pd 2.80-2.81, 4 Ga 2.83
Pd: 0.5000 0.5000 0.4025  8 Pd 2.76-2.77, 4 Ga 2.82
Pd: 0.5000 0.5000 0.5975  8 Pd 2.76-2.77, 4 Ga 2.82
Pd: 0.5000 0.5000 0.7956  8 Pd 2.80-2.81, 4 Ga 2.83

***

2.
Below is Y2Co2Sb after structural relaxation, with properties calculated at the PBE-GGA level.

Results
As for the space group: P4/mbm (127). The total energy comes out at -6.67 eV per atom. For the energy relative to the elements, uncorrected, the calculation gives -0.4219 eV per atom. The calculation puts the magnetization at 3.11 μB per cell. The crystal system is tetragonal.

Cell: 7.0302 7.0302 4.0689 Å, 90.00 90.00 90.00°
Closest atoms and distances in Å follow each position.
Sites, in units of the cell vectors:
Y: 0.1793 0.3207 0.0000  6 Co 2.90-2.93
Y: 0.3207 0.8207 0.0000  6 Co 2.90-2.93
Y: 0.6793 0.1793 0.0000  6 Co 2.90-2.93
Y: 0.8207 0.6793 0.0000  6 Co 2.90-2.93
Co: 0.1131 0.6131 0.5000  1 Co 2.25
Co: 0.3869 0.1131 0.5000  1 Co 2.25
Co: 0.6131 0.8869 0.5000  1 Co 2.25
Co: 0.8869 0.3869 0.5000  1 Co 2.25
Sb: 0.0000 0.0000 0.5000  4 Co 2.83
Sb: 0.5000 0.5000 0.5000  4 Co 2.83